(1)
Material: BeAuBr
Method: DFT, PBE
State: relaxed

Values from the calculation:
The value obtained for the theoretical density is 8.089 g/cm³. Its space-group type is F-43m. For the excess energy over the best structure of this formula in the dataset, the calculation gives 679 meV/atom.

a = 4.362 Å, b = 4.362 Å, c = 4.362 Å
α = 60.00°, β = 60.00°, γ = 60.00°
Positions (direct):
Be1 0.000 0.000 0.000
Au1 0.750 0.750 0.750
Br1 0.250 0.250 0.250



(2)
Material: BeAu4Br
Method: DFT, PBE
State: relaxed

Values from the calculation:
The value obtained for the theoretical density is 11.934 g/cm³. Its space-group type is F-43m. The density of states at the Fermi level comes out at 4.4 states/eV/f.u. For the total energy, the calculation gives -2.62 eV/atom.

a = 5.567 Å, b = 5.567 Å, c = 5.567 Å
α = 60.00°, β = 60.00°, γ = 60.00°
Positions (direct):
Be1 0.000 0.000 0.000
Au1 0.375 0.375 0.375
Au2 0.375 0.375 0.876
Au3 0.375 0.876 0.375
Au4 0.876 0.375 0.375
Br1 0.750 0.750 0.750